VASP calculation (PBE-GGA) on a relaxed structure of CsKNaP.

Geometry as POSCAR:
```
CsKNaP
1.0
-0.059 -4.249 -3.667
4.775 -2.647 -1.306
0.874 -5.252 1.776
Cs P K Na
1 1 1 1
Cartesian
1.397 -3.037 -0.799 Cs
4.192 -9.111 -2.398 P
2.795 -6.074 -1.598 K
0.000 0.000 0.000 Na
```

Output
ΔE_f = -0.14 eV/atom
total magnetization = 0.00 Bohr magnetons per cell



VASP calculation (PBE-GGA) on a relaxed structure of Ti2TeOsPd.

Geometry as POSCAR:
```
Ti2TeOsPd
1.0
-0.564 3.699 2.887
-3.887 -2.327 2.222
2.961 -1.976 3.109
Te Os Pd Ti
1 1 1 2
Cartesian
-1.943 -1.164 1.111 Te
0.000 0.000 0.000 Os
-0.745 -0.302 4.109 Pd
1.480 -0.988 1.555 Ti
-0.282 1.849 1.444 Ti
```

Output
raw formation energy = 647 meV per atom
total magnetization = 0.11 Bohr magnetons per cell



VASP calculation (PBE-GGA) on a relaxed structure of Ac2AgHgS5.

Geometry as POSCAR:
```
Ac2AgHgS5
1.0
4.235 0.000 0.000
-2.117 8.611 0.000
0.000 0.000 12.088
Ac Ag Hg S
4 2 2 10
Cartesian
2.117 6.213 9.722 Ac
0.000 2.015 8.397 Ac
0.000 2.398 3.677 Ac
2.117 6.596 2.353 Ac
2.117 5.011 6.252 Ag
0.000 3.600 0.208 Ag
2.117 0.672 11.624 Hg
0.000 7.940 5.579 Hg
0.000 6.169 0.026 S
2.117 3.264 10.223 S
0.000 8.474 9.264 S
0.000 4.928 8.029 S
2.117 7.569 6.866 S
2.117 2.442 6.070 S
0.000 5.348 4.179 S
2.117 0.138 3.219 S
2.117 3.683 1.985 S
0.000 1.043 0.822 S
```

Output
raw formation energy = -1160 meV per atom
total magnetization = 0.00 Bohr magnetons per cell



VASP calculation (PBE-GGA) on a relaxed structure of TmMn2C.

Geometry as POSCAR:
```
TmMn2C
1.0
3.074 0.000 0.000
1.537 2.662 0.000
1.537 0.887 6.632
C Tm Mn
1 1 2
Cartesian
0.000 0.000 0.000 C
3.074 1.775 3.316 Tm
4.611 2.662 5.750 Mn
1.537 0.887 0.882 Mn
```

Output
ΔE_f = 0.22 eV/atom
total magnetization = 1.01 Bohr magnetons per cell